Compound: H7Pd12Rh
Source: Alexandria via LeMat-Bulk
Functional: PBE
Structure: optimized geometry Values from VASP.

The structure in Quantum ESPRESSO input format:
```
&SYSTEM
  ibrav = 0, nat = 20, ntyp = 3
/
ATOMIC_SPECIES
H 1.01 H.upf
Pd 106.42 Pd.upf
Rh 102.91 Rh.upf
CELL_PARAMETERS angstrom
5.1514 2.9742 2.3429
-5.1514 2.9742 2.3429
0.0000 -5.9483 2.3429
ATOMIC_POSITIONS angstrom
H 0.0000 0.0000 0.0000
H -1.5641 -0.2947 2.4078
H 1.0373 -1.2072 2.4078
H 0.5268 1.5019 2.4078
H -0.5268 -1.5019 4.6209
H -1.0373 1.2072 4.6209
H 1.5641 0.2947 4.6209
Pd -0.3820 -1.6195 1.1581
Pd -1.2115 1.1406 1.1581
Pd -1.9923 -2.0726 3.5088
Pd -2.7910 0.6891 3.5200
Pd 1.5935 0.4789 1.1581
Pd 0.7987 -2.7617 3.5200
Pd -0.7987 2.7617 3.5088
Pd -1.5935 -0.4789 5.8706
Pd 2.7910 -0.6891 3.5088
Pd 1.9923 2.0726 3.5200
Pd 1.2115 -1.1406 5.8706
Pd 0.3820 1.6195 5.8706
Rh 0.0000 0.0000 3.5144
```

Summary:
Total magnetic moment: 0.0 μB per cell
Total DFT energy (no corrections): -94.08 eV/f.u.
Space-group type: R-3 (148)
DOS(E_F): 1.054 states/eV/atom



Compound: H5Pd2Rh
Source: Alexandria via LeMat-Bulk
Functional: PBE
Structure: optimized geometry Values from VASP.

The structure in Quantum ESPRESSO input format:
```
&SYSTEM
  ibrav = 0, nat = 16, ntyp = 3
/
ATOMIC_SPECIES
H 1.01 H.upf
Pd 106.42 Pd.upf
Rh 102.91 Rh.upf
CELL_PARAMETERS angstrom
1.5452 -4.9438 0.0000
1.5452 4.9438 0.0000
0.0000 0.0000 8.8076
ATOMIC_POSITIONS angstrom
H 1.5452 4.5383 5.2000
H 1.5452 4.5383 8.0114
H 1.5452 2.3310 5.2823
H 1.5452 2.3310 7.9290
H 1.5452 0.6690 2.2019
H 1.5452 -0.6690 6.6057
H 1.5452 -2.3310 0.8786
H 1.5452 -2.3310 3.5252
H 1.5452 -4.5383 0.7962
H 1.5452 -4.5383 3.6076
Pd 1.5452 3.5576 0.7628
Pd 1.5452 3.5576 3.6410
Pd 1.5452 -3.5576 5.1665
Pd 1.5452 -3.5576 8.0448
Rh 1.5452 3.5702 6.6057
Rh 1.5452 -3.5702 2.2019
```

Summary:
Total magnetic moment: 0.0 μB per cell
Total DFT energy (no corrections): -34.27 eV/f.u.
Space-group type: Cmcm (63)
DOS(E_F): 0.280 states/eV/atom